1.
Below is a relaxed structure of Er4ScAl2, with properties calculated at the GGA-PBE level.

Geometry as POSCAR:
```
Er4ScAl2
1.0
2.496 1.441 9.531
-2.496 1.441 9.531
0.000 -2.882 9.531
Er Sc Al
4 1 2
direct
0.110 0.110 0.110
0.295 0.295 0.295
0.705 0.705 0.705
0.890 0.890 0.890
0.500 0.500 0.500
0.402 0.402 0.402
0.598 0.598 0.598
```

* space group: R-3m, No. 166
* crystal system: trigonal
* offset from the most stable computed form: 1.99 eV per formula unit

---

2.
Below is a relaxed structure of Er3ScAl8, with properties calculated at the GGA-PBE level.

Geometry as POSCAR:
```
Er3ScAl8
1.0
5.482 0.000 0.000
-2.741 4.747 0.000
0.000 0.000 8.980
Er Sc Al
3 1 8
direct
0.000 0.000 0.000
0.000 0.000 0.367
0.333 0.667 0.863
0.333 0.667 0.500
0.009 0.505 0.184
0.324 0.162 0.679
0.495 0.505 0.184
0.495 0.991 0.184
0.667 0.333 0.432
0.667 0.333 0.930
0.838 0.162 0.679
0.838 0.676 0.679
```

* space group: P3m1, No. 156
* crystal system: trigonal
* offset from the most stable computed form: 0.10 eV per formula unit

---

3.
Below is a relaxed structure of Er5ScAl4, with properties calculated at the GGA-PBE level.

Geometry as POSCAR:
```
Er5ScAl4
1.0
3.550 0.000 0.000
0.000 3.550 0.000
0.000 0.000 18.831
Er Sc Al
5 1 4
direct
0.000 0.000 0.000
0.000 0.000 0.191
0.000 0.000 0.384
0.000 0.000 0.616
0.000 0.000 0.809
0.500 0.500 0.500
0.500 0.500 0.096
0.500 0.500 0.288
0.500 0.500 0.712
0.500 0.500 0.904
```

* space group: P4/mmm, No. 123
* crystal system: tetragonal
* VASP energy: -4.72 eV/atom

---

4.
Below is a relaxed structure of Er8Sc2Al, with properties calculated at the GGA-PBE level.

Geometry as POSCAR:
```
Er8Sc2Al
1.0
9.300 -2.673 0.000
9.300 2.673 0.000
-0.414 0.000 6.239
Er Sc Al
8 2 1
direct
0.044 0.044 0.255
0.157 0.157 0.804
0.339 0.339 0.878
0.420 0.420 0.401
0.580 0.580 0.599
0.661 0.661 0.122
0.843 0.843 0.196
0.956 0.956 0.745
0.241 0.241 0.339
0.759 0.759 0.661
0.500 0.500 0.000
```

* space group: C2/m, No. 12
* crystal system: monoclinic
* VASP energy: -4.85 eV/atom

---

5.
Below is a relaxed structure of ErSc2Al2, with properties calculated at the GGA-PBE level.

Geometry as POSCAR:
```
ErSc2Al2
1.0
3.460 0.000 0.000
0.000 4.951 0.000
-1.731 0.000 12.669
Er Sc Al
2 4 4
direct
0.147 0.250 0.294
0.853 0.750 0.706
0.049 0.750 0.097
0.236 0.750 0.472
0.764 0.250 0.528
0.951 0.250 0.903
0.357 0.250 0.714
0.454 0.750 0.908
0.546 0.250 0.092
0.643 0.750 0.286
```

* space group: P2_1/m, No. 11
* crystal system: monoclinic
* offset from the most stable computed form: 0.00 eV per formula unit

---

6.
Below is a relaxed structure of ErScAl, with properties calculated at the GGA-PBE level.

Geometry as POSCAR:
```
ErScAl
1.0
2.441 1.409 7.967
-2.441 1.409 7.967
0.000 -2.819 7.967
Er Sc Al
2 2 2
direct
0.122 0.122 0.122
0.878 0.878 0.878
0.372 0.372 0.372
0.628 0.628 0.628
0.253 0.253 0.253
0.747 0.747 0.747
```

* space group: R-3m, No. 166
* crystal system: trigonal
* offset from the most stable computed form: 0.87 eV per formula unit

---

7.
Below is a relaxed structure of Er6ScAl, with properties calculated at the GGA-PBE level.

Geometry as POSCAR:
```
Er6ScAl
1.0
4.456 2.573 3.328
-4.456 2.573 3.328
0.000 -5.145 3.328
Er Sc Al
6 1 1
direct
0.032 0.757 0.548
0.243 0.452 0.968
0.452 0.968 0.243
0.548 0.032 0.757
0.757 0.548 0.032
0.968 0.243 0.452
0.500 0.500 0.500
0.000 0.000 0.000
```

* space group: R-3, No. 148
* crystal system: trigonal
* VASP energy: -4.64 eV/atom

---

8.
Below is a relaxed structure of ErSc8Al2, with properties calculated at the GGA-PBE level.

Geometry as POSCAR:
```
ErSc8Al2
1.0
4.087 -6.990 0.000
4.087 6.990 0.000
-2.490 0.000 4.585
Er Sc Al
1 8 2
direct
0.000 0.000 0.000
0.093 0.333 0.640
0.217 0.783 0.000
0.333 0.093 0.640
0.420 0.420 0.209
0.580 0.580 0.791
0.667 0.907 0.360
0.783 0.217 0.000
0.907 0.667 0.360
0.309 0.691 0.500
0.691 0.309 0.500
```

* space group: C2/m, No. 12
* crystal system: monoclinic
* VASP energy: -5.70 eV/atom

---

9.
Below is a relaxed structure of Er3ScAl, with properties calculated at the GGA-PBE level.

Geometry as POSCAR:
```
Er3ScAl
1.0
2.497 -7.879 0.000
2.497 7.879 0.000
0.000 0.000 6.703
Er Sc Al
6 2 2
direct
0.112 0.888 0.000
0.112 0.888 0.500
0.297 0.703 0.750
0.703 0.297 0.250
0.888 0.112 0.000
0.888 0.112 0.500
0.492 0.508 0.250
0.508 0.492 0.750
0.304 0.696 0.250
0.696 0.304 0.750
```

* space group: Cmcm, No. 63
* crystal system: orthorhombic
* offset from the most stable computed form: 0.00 eV per formula unit

---

10.
Below is a relaxed structure of Er4ScAl, with properties calculated at the GGA-PBE level.

Geometry as POSCAR:
```
Er4ScAl
1.0
5.284 -1.713 0.000
5.284 1.713 0.000
-4.599 0.000 9.431
Er Sc Al
4 1 1
direct
0.143 0.143 0.354
0.339 0.339 0.163
0.661 0.661 0.837
0.857 0.857 0.646
0.000 0.000 0.000
0.500 0.500 0.500
```

* space group: C2/m, No. 12
* crystal system: monoclinic
* offset from the most stable computed form: 0.65 eV per formula unit

---

11.
Below is a relaxed structure of TbErScAl, with properties calculated at the GGA-PBE level.

Geometry as POSCAR:
```
TbErScAl
1.0
4.579 0.000 0.000
0.000 4.675 0.000
0.000 0.000 4.678
Tb Er Sc Al
1 1 1 1
direct
0.000 0.000 0.000
0.000 0.500 0.500
0.500 0.500 0.000
0.500 0.000 0.500
```

* space group: Pmmm, No. 47
* crystal system: orthorhombic
* offset from the most stable computed form: 0.00 eV per formula unit

---

12.
Below is a relaxed structure of TbErScAl, with properties calculated at the GGA-PBE level.

Geometry as POSCAR:
```
TbErScAl
1.0
0.000 3.692 3.692
3.692 0.000 3.692
3.692 3.692 0.000
Tb Er Sc Al
1 1 1 1
direct
0.000 0.000 0.000
0.500 0.500 0.500
0.750 0.750 0.750
0.250 0.250 0.250
```

* space group: F-43m, No. 216
* crystal system: cubic
* offset from the most stable computed form: 0.35 eV per formula unit

---

Copy entry 12 word for word.
Below is a relaxed structure of TbErScAl, with properties calculated at the GGA-PBE level.

Geometry as POSCAR:
```
TbErScAl
1.0
0.000 3.692 3.692
3.692 0.000 3.692
3.692 3.692 0.000
Tb Er Sc Al
1 1 1 1
direct
0.000 0.000 0.000
0.500 0.500 0.500
0.750 0.750 0.750
0.250 0.250 0.250
```

* space group: F-43m, No. 216
* crystal system: cubic
* offset from the most stable computed form: 0.35 eV per formula unit